TlPt2Au | PBE | relaxed

a b c (Å): 3.253 3.253 6.987
angles (deg): 90.00 90.00 90.01
Fractional positions:
1 Pt 0.000 0.000 0.008
2 Pt 0.500 0.500 0.231
3 Tl 0.000 0.000 0.485
4 Au 0.500 0.500 0.776

Properties
Crystal system: tetragonal
D(E_F), states/eV/atom: 0.57
Density, Mg/m³: 17.8
Formation energy, eV per atom: 0.148

=====

KAlTl | PBE | relaxed

a b c (Å): 3.610 3.610 8.177
angles (deg): 90.00 90.00 120.00
Fractional positions:
1 K 0.667 0.333 0.328
2 Tl 0.333 0.667 0.696
3 Al 0.000 0.000 0.977

Properties
Crystal system: trigonal
Energy relative to the lowest polymorph listed for this composition, kJ per mole of atoms: 25.5
D(E_F), states/eV/atom: 0.91
Density, Mg/m³: 4.9
Formation energy, eV per atom: 0.279

=====

MgB3 | PBE | relaxed

a b c (Å): 4.107 4.107 6.372
angles (deg): 90.00 90.00 90.00
Fractional positions:
1 B 0.000 0.000 0.190
2 B 0.000 0.699 0.000
3 B 0.000 0.000 0.810
4 B 0.699 0.000 0.000
5 B 0.301 0.000 0.000
6 B 0.000 0.301 0.000
7 Mg 0.500 0.500 0.276
8 Mg 0.500 0.500 0.724

Properties
Crystal system: tetragonal
Energy relative to the lowest polymorph listed for this composition, kJ per mole of atoms: 4.4
D(E_F), states/eV/atom: 0.03
Density, Mg/m³: 1.8
Formation energy, eV per atom: 0.333

=====

Mn2Ru2Pt | PBE | relaxed

a b c (Å): 7.102 7.102 2.672
angles (deg): 90.00 90.00 90.00
Fractional positions:
1 Ru 0.872 0.628 0.000
2 Ru 0.372 0.872 0.000
3 Ru 0.628 0.128 0.000
4 Ru 0.128 0.372 0.000
5 Mn 0.666 0.834 0.500
6 Mn 0.834 0.334 0.500
7 Mn 0.166 0.666 0.500
8 Mn 0.334 0.166 0.500
9 Pt 0.500 0.500 0.000
10 Pt 0.000 0.000 0.000

Properties
Crystal system: tetragonal
Energy relative to the lowest polymorph listed for this composition, kJ per mole of atoms: 6.5
D(E_F), states/eV/atom: 1.19
Density, Mg/m³: 12.5
Formation energy, eV per atom: 0.156

=====

Pr2ZnP2N6 | PBE | relaxed

a b c (Å): 5.647 5.647 6.041
angles (deg): 90.00 90.00 120.00
Fractional positions:
1 N 0.095 0.356 0.779
2 N 0.644 0.739 0.779
3 N 0.261 0.905 0.779
4 N 0.356 0.261 0.221
5 N 0.739 0.095 0.221
6 N 0.905 0.644 0.221
7 Pr 0.333 0.667 0.297
8 Pr 0.667 0.333 0.703
9 P 0.333 0.667 0.789
10 P 0.667 0.333 0.211
11 Zn 0.000 0.000 0.000

Properties
Crystal system: trigonal
Density, Mg/m³: 4.9
Energy, eV/f.u.: -76.19

=====

MnIrPt2 | PBE | relaxed

a b c (Å): 4.762 4.762 2.802
angles (deg): 90.00 90.00 109.48
Fractional positions:
1 Mn 0.000 0.500 0.500
2 Pt 0.500 0.500 0.000
3 Pt 0.000 0.000 0.000
4 Ir 0.500 0.000 0.500

Properties
Crystal system: orthorhombic
D(E_F), states/eV/atom: 1.07
Density, Mg/m³: 17.7
Formation energy, eV per atom: -0.194

=====

Ba2HfAlCd | PBE | relaxed

a b c (Å): 6.458 5.344 6.458
angles (deg): 90.00 90.00 90.00
Fractional positions:
1 Cd 0.000 0.000 0.000
2 Al 0.500 0.500 0.500
3 Hf 0.000 0.500 0.000
4 Ba 0.500 0.000 0.000
5 Ba 0.000 0.000 0.500

Properties
Crystal system: tetragonal
D(E_F), states/eV/atom: 1.51
Density, Mg/m³: 4.4
Formation energy, eV per atom: 0.802

=====

Nd3GePd3 | PBE | relaxed

a b c (Å): 4.339 4.086 9.887
angles (deg): 101.93 102.68 90.00
Fractional positions:
1 Pd 0.855 0.355 0.709
2 Pd 0.154 0.654 0.307
3 Pd 0.564 0.564 0.128
4 Nd 0.682 0.182 0.364
5 Nd 0.998 0.998 0.996
6 Nd 0.315 0.815 0.630
7 Ge 0.433 0.433 0.866

Properties
Crystal system: orthorhombic
D(E_F), states/eV/atom: 0.60
Density, Mg/m³: 8.2
Formation energy, eV per atom: -0.808

=====

Na2TlGa | PBE | relaxed

a b c (Å): 8.553 8.553 6.779
angles (deg): 50.89 50.89 90.00
Fractional positions:
1 Na 0.875 0.859 0.750
2 Na 0.141 0.625 0.250
3 Na 0.609 0.125 0.250
4 Na 0.375 0.391 0.750
5 Tl 0.000 0.000 0.000
6 Tl 0.750 0.250 0.500
7 Ga 0.500 0.500 0.000
8 Ga 0.250 0.750 0.500

Properties
Crystal system: tetragonal
Energy relative to the lowest polymorph listed for this composition, kJ per mole of atoms: 14.6
D(E_F), states/eV/atom: 0.40
Density, Mg/m³: 4.7
Formation energy, eV per atom: 0.081

=====

VAg | PBE | relaxed

a b c (Å): 11.315 2.893 6.374
angles (deg): 90.00 90.00 90.00
Fractional positions:
1 V 0.500 0.500 0.884
2 V 0.000 0.000 0.384
3 V 0.101 0.500 0.635
4 V 0.899 0.500 0.635
5 V 0.601 0.000 0.135
6 V 0.399 0.000 0.135
7 Ag 0.188 0.500 0.194
8 Ag 0.688 0.000 0.694
9 Ag 0.812 0.500 0.194
10 Ag 0.500 0.500 0.460
11 Ag 0.312 0.000 0.694
12 Ag 0.000 0.000 0.960

Properties
Crystal system: orthorhombic
D(E_F), states/eV/atom: 0.83
Density, Mg/m³: 7.6
Formation energy, eV per atom: 0.486

=====

BaHfNpO6 | PBE | relaxed

a b c (Å): 5.657 5.657 11.352
angles (deg): 90.00 90.00 120.00
Fractional positions:
1 O 0.621 0.619 0.152
2 O 0.381 0.002 0.152
3 O 0.379 0.998 0.652
4 O 0.619 0.998 0.848
5 O 0.998 0.619 0.348
6 O 0.619 0.621 0.652
7 O 0.381 0.379 0.348
8 O 0.998 0.379 0.152
9 O 0.621 0.002 0.348
10 O 0.002 0.381 0.652
11 O 0.379 0.381 0.848
12 O 0.002 0.621 0.848
13 Hf 0.667 0.333 0.750
14 Hf 0.333 0.667 0.250
15 Ba 0.000 0.000 0.500
16 Ba 0.000 0.000 0.000
17 Np 0.667 0.333 0.250
18 Np 0.333 0.667 0.750

Properties
Crystal system: trigonal
Density, Mg/m³: 6.9
Energy, eV/f.u.: -82.79

=====

HOsAu3 | PBE | relaxed

a b c (Å): 4.148 4.148 4.148
angles (deg): 90.00 90.00 90.00
Fractional positions:
1 Au 0.000 0.000 0.500
2 Au 0.500 0.000 0.000
3 Au 0.000 0.500 0.000
4 H 0.000 0.000 0.000
5 Os 0.500 0.500 0.500

Properties
Crystal system: cubic
Energy relative to the lowest polymorph listed for this composition, kJ per mole of atoms: 0.0
D(E_F), states/eV/atom: 0.67
Density, Mg/m³: 18.2

=====

Mg2AsO5 | PBE | relaxed

a b c (Å): 6.183 8.362 8.483
angles (deg): 90.00 90.00 90.00
Fractional positions:
1 O 0.225 0.125 0.776
2 O 0.000 0.356 0.584
3 O 0.000 0.644 0.416
4 O 0.725 0.625 0.724
5 O 0.000 0.856 0.919
6 O 0.500 0.856 0.916
7 O 0.000 0.615 0.097
8 O 0.775 0.125 0.776
9 O 0.275 0.625 0.724
10 O 0.775 0.875 0.224
11 O 0.500 0.115 0.403
12 O 0.275 0.375 0.276
13 O 0.725 0.375 0.276
14 O 0.000 0.385 0.903
15 O 0.500 0.144 0.084
16 O 0.500 0.644 0.419
17 O 0.500 0.885 0.597
18 O 0.225 0.875 0.224
19 O 0.000 0.144 0.081
20 O 0.500 0.356 0.581
21 Mg 0.253 0.500 0.500
22 Mg 0.500 0.127 0.645
23 Mg 0.753 0.000 0.000
24 Mg 0.500 0.873 0.355
25 Mg 0.000 0.373 0.145
26 Mg 0.247 0.000 0.000
27 Mg 0.000 0.627 0.855
28 Mg 0.747 0.500 0.500
29 As 0.000 0.245 0.755
30 As 0.500 0.745 0.745
31 As 0.500 0.255 0.255
32 As 0.000 0.755 0.245

Properties
Crystal system: orthorhombic
Energy relative to the lowest polymorph listed for this composition, kJ per mole of atoms: 0.0
Density, Mg/m³: 3.1

=====

Tb3P2Pt9 | PBE | relaxed

a b c (Å): 6.289 6.289 14.819
angles (deg): 90.00 90.00 120.00
Fractional positions:
1 P 0.667 0.333 0.151
2 P 0.333 0.667 0.849
3 P 0.333 0.667 0.651
4 P 0.667 0.333 0.349
5 Pt 0.483 0.966 0.250
6 Pt 0.703 0.851 0.921
7 Pt 0.851 0.703 0.421
8 Pt 0.851 0.703 0.079
9 Pt 0.483 0.517 0.250
10 Pt 0.851 0.149 0.421
11 Pt 0.149 0.851 0.921
12 Pt 0.149 0.297 0.579
13 Pt 0.149 0.851 0.579
14 Pt 0.297 0.149 0.421
15 Pt 0.034 0.517 0.250
16 Pt 0.517 0.483 0.750
17 Pt 0.517 0.034 0.750
18 Pt 0.149 0.297 0.921
19 Pt 0.703 0.851 0.579
20 Pt 0.966 0.483 0.750
21 Pt 0.851 0.149 0.079
22 Pt 0.297 0.149 0.079
23 Tb 0.667 0.333 0.925
24 Tb 0.667 0.333 0.575
25 Tb 0.333 0.667 0.075
26 Tb 0.000 0.000 0.250
27 Tb 0.333 0.667 0.425
28 Tb 0.000 0.000 0.750

Properties
Crystal system: hexagonal
D(E_F), states/eV/atom: 0.45
Density, Mg/m³: 15.0
Formation energy, eV per atom: -0.891

=====

La2TaMo | PBE | relaxed

a b c (Å): 3.164 3.164 10.113
angles (deg): 90.00 90.00 115.56
Fractional positions:
1 Mo 0.500 0.500 0.250
2 La 0.000 0.000 0.483
3 La 0.000 0.000 0.017
4 Ta 0.500 0.500 0.750

Properties
Crystal system: orthorhombic
Energy relative to the lowest polymorph listed for this composition, kJ per mole of atoms: 45.3
D(E_F), states/eV/atom: 1.46
Density, Mg/m³: 10.1
Formation energy, eV per atom: 0.702

=====

AlFeN2 | PBE | relaxed

a b c (Å): 4.359 4.359 5.303
angles (deg): 65.73 65.73 90.00
Fractional positions:
1 Al 0.250 0.750 0.500
2 Al 0.500 0.500 0.000
3 N 0.120 0.625 0.250
4 N 0.875 0.880 0.750
5 N 0.630 0.125 0.250
6 N 0.375 0.370 0.750
7 Fe 0.750 0.250 0.500
8 Fe 0.000 0.000 0.000

Properties
Crystal system: tetragonal
D(E_F), states/eV/atom: 0.80
Density, Mg/m³: 4.5
Energy, eV/f.u.: -30.64

=====

K2Y4W | PBE | relaxed

a b c (Å): 5.611 5.611 10.440
angles (deg): 74.41 74.41 90.00
Fractional positions:
1 Y 0.862 0.862 0.276
2 Y 0.500 0.000 0.000
3 Y 0.000 0.500 0.000
4 Y 0.138 0.138 0.724
5 K 0.657 0.657 0.686
6 K 0.343 0.343 0.314
7 W 0.000 0.000 0.000

Properties
Crystal system: tetragonal
D(E_F), states/eV/atom: 1.58
Density, Mg/m³: 3.4
Formation energy, eV per atom: 0.668

=====

AcGaPb | PBE | relaxed

a b c (Å): 6.644 6.740 8.571
angles (deg): 109.69 90.00 90.00
Fractional positions:
1 Ac 0.874 0.296 0.120
2 Ac 0.126 0.704 0.880
3 Ac 0.626 0.296 0.620
4 Ac 0.374 0.704 0.380
5 Ga 0.140 0.361 0.499
6 Ga 0.640 0.639 0.001
7 Ga 0.360 0.361 0.999
8 Ga 0.860 0.639 0.501
9 Pb 0.616 0.884 0.788
10 Pb 0.384 0.116 0.212
11 Pb 0.116 0.116 0.712
12 Pb 0.884 0.884 0.288

Properties
Crystal system: monoclinic
Energy relative to the lowest polymorph listed for this composition, kJ per mole of atoms: 3.4
D(E_F), states/eV/atom: 0.54
Density, Mg/m³: 9.3
Formation energy, eV per atom: -0.475

=====

ReRu2Au | PBE | relaxed

a b c (Å): 4.864 4.864 4.864
angles (deg): 133.31 133.32 68.16
Fractional positions:
1 Au 0.500 0.500 0.000
2 Re 0.250 0.750 0.500
3 Ru 0.750 0.250 0.500
4 Ru 0.000 0.000 0.000

Properties
Crystal system: tetragonal
Energy relative to the lowest polymorph listed for this composition, kJ per mole of atoms: 23.5
D(E_F), states/eV/atom: 1.33
Density, Mg/m³: 16.2
Formation energy, eV per atom: 0.383

=====

RbNaTl11 | PBE | relaxed

a b c (Å): 6.432 8.664 8.679
angles (deg): 82.72 68.25 70.02
Fractional positions:
1 Tl 0.000 0.500 0.000
2 Tl 0.003 0.641 0.361
3 Tl 0.498 0.784 0.214
4 Tl 0.500 0.000 0.500
5 Tl 0.711 0.784 0.786
6 Tl 0.502 0.216 0.786
7 Tl 0.363 0.641 0.639
8 Tl 0.997 0.359 0.639
9 Tl 0.000 0.000 0.500
10 Tl 0.289 0.216 0.214
11 Tl 0.637 0.359 0.361
12 Rb 0.000 0.000 0.000
13 Na 0.500 0.500 0.000

Properties
Crystal system: monoclinic
D(E_F), states/eV/atom: 0.54
Density, Mg/m³: 9.3
Formation energy, eV per atom: -0.033